[1]
The following is a PBE calculation of a relaxed structure of MnBOs, from the Alexandria database.

The structure in POSCAR format:
```
MnBOs
1.0
-1.3255 1.3255 9.1064
1.3255 -1.3255 9.1064
1.3255 1.3255 -9.1064
Mn B Os
2 2 2
Direct
0.1609 0.1609 0.0000
0.8391 0.8391 0.0000
0.2761 0.2761 0.0000
0.7239 0.7239 0.0000
0.4317 0.4317 0.0000
0.5683 0.5683 0.0000
```

Output
As for the total energy: -8.882 eV/atom. Its space group is I4/mmm, No. 139. The value obtained for the density of states at the Fermi level is 0.24 states/eV/atom. For the calculated volume, the calculation gives 10.67 A^3/atom.



[2]
The following is a PBE calculation of a relaxed structure of TaTeSe2, from the Alexandria database.

The structure in POSCAR format:
```
TaTeSe2
1.0
6.4048 -1.6539 0.0000
6.4048 1.6539 0.0000
-2.0099 0.0000 5.5972
Ta Te Se
1 1 2
Direct
0.0000 0.0000 0.0000
0.3438 0.3438 0.6651
0.4956 0.4956 0.3262
0.6478 0.6478 0.9784
```

Output
As for the total energy: -5.883 eV/atom. For the raw formation energy, the calculation gives -1.57 eV per formula unit. Its space group is Cm, No. 8. The value obtained for the density of states at the Fermi level is 0.39 states/eV/atom. For the calculated volume, the calculation gives 29.64 A^3/atom.



[3]
The following is a PBE calculation of a relaxed structure of NiRh2Br, from the Alexandria database.

The structure in POSCAR format:
```
NiRh2Br
1.0
3.4974 0.0000 0.0000
0.0000 2.9271 0.0000
-0.0203 0.0000 6.7821
Ni Rh Br
1 2 1
Direct
0.0000 0.0000 0.0000
0.4986 0.5000 0.8133
0.9973 0.0000 0.6269
0.9960 0.5000 0.2951
```

Output
The calculation puts the energy above the lowest structure with this stoichiometry at 0 meV per atom. As for the total energy: -5.186 eV/atom. For the raw formation energy, the calculation gives 1.41 eV per formula unit. Its space group is Pm, No. 6. The value obtained for the density of states at the Fermi level is 1.45 states/eV/atom. For the calculated volume, the calculation gives 17.36 A^3/atom.



[4]
The following is a PBE calculation of a relaxed structure of SbWCl2, from the Alexandria database.

The structure in POSCAR format:
```
SbWCl2
1.0
4.2993 0.0000 0.0000
0.0000 4.2993 0.0000
0.0000 0.0000 4.6235
Sb W Cl
1 1 2
Direct
0.0000 0.0000 0.0000
0.5000 0.5000 0.0000
0.0000 0.5000 0.5000
0.5000 0.0000 0.5000
```

Output
The calculation puts the energy above the lowest structure with this stoichiometry at 1109 meV per atom. As for the total energy: -4.213 eV/atom. For the raw formation energy, the calculation gives 3.92 eV per formula unit. Its space group is P4/mmm, No. 123. The value obtained for the density of states at the Fermi level is 0.67 states/eV/atom. For the calculated volume, the calculation gives 21.37 A^3/atom.



[5]
The following is a PBE calculation of a relaxed structure of TaNbFe, from the Alexandria database.

The structure in POSCAR format:
```
TaNbFe
1.0
0.0000 2.8162 7.8794
2.2469 0.0000 7.8794
2.2469 2.8162 0.0000
Ta Nb Fe
2 2 2
Direct
0.0993 0.0993 0.9007
0.9007 0.9007 0.0993
0.2974 0.2974 0.7026
0.7026 0.7026 0.2974
0.3225 0.6775 0.3225
0.6775 0.3225 0.6775
```

Output
The calculation puts the energy above the lowest structure with this stoichiometry at 366 meV per atom. As for the total energy: -9.860 eV/atom. Its space group is Fmmm, No. 69. The value obtained for the density of states at the Fermi level is 0.92 states/eV/atom. For the calculated volume, the calculation gives 16.62 A^3/atom.



[6]
The following is a PBE calculation of a relaxed structure of LaScBi3, from the Alexandria database.

The structure in POSCAR format:
```
LaScBi3
1.0
6.0313 0.0000 0.0000
0.0000 6.0313 0.0000
0.0000 0.0000 6.0313
La Sc Bi
1 1 3
Direct
0.0000 0.0000 0.0000
0.5000 0.5000 0.5000
0.0000 0.0000 0.5000
0.0000 0.5000 0.0000
0.5000 0.0000 0.0000
```

Output
The calculation puts the energy above the lowest structure with this stoichiometry at 1225 meV per atom. As for the total energy: -4.015 eV/atom. Its space group is Pm-3m, No. 221. The value obtained for the density of states at the Fermi level is 1.31 states/eV/atom. For the calculated volume, the calculation gives 43.88 A^3/atom.



[7]
The following is a PBE calculation of a relaxed structure of Pm8Te4AuS3, from the Alexandria database.

The structure in POSCAR format:
```
Pm8Te4AuS3
1.0
4.2396 2.4478 7.1751
-4.2396 2.4478 7.1751
0.0000 -4.8955 7.1751
Pm Te Au S
8 4 1 3
Direct
0.2317 0.7438 0.7438
0.2356 0.2356 0.2356
0.2562 0.2562 0.7683
0.2562 0.7683 0.2562
0.7438 0.2317 0.7438
0.7438 0.7438 0.2317
0.7644 0.7644 0.7644
0.7683 0.2562 0.2562
0.0000 0.0000 0.0000
0.0000 0.5000 0.5000
0.5000 0.0000 0.5000
0.5000 0.5000 0.0000
0.5000 0.5000 0.5000
0.0000 0.0000 0.5000
0.0000 0.5000 0.0000
0.5000 0.0000 0.0000
```

Output
As for the total energy: -5.708 eV/atom. For the raw formation energy, the calculation gives -25.10 eV per formula unit. Its space group is R-3m, No. 166. The value obtained for the density of states at the Fermi level is 0.42 states/eV/atom. For the calculated volume, the calculation gives 27.92 A^3/atom.



[8]
The following is a PBE calculation of a relaxed structure of ZnSiNi3, from the Alexandria database.

The structure in POSCAR format:
```
ZnSiNi3
1.0
4.1835 0.0000 0.0000
0.0000 4.1835 0.0000
0.0000 0.0000 4.1835
Zn Si Ni
1 1 3
Direct
0.0000 0.0000 0.0000
0.5000 0.5000 0.5000
0.0000 0.5000 0.5000
0.5000 0.0000 0.5000
0.5000 0.5000 0.0000
```

Output
The calculation puts the energy above the lowest structure with this stoichiometry at 549 meV per atom. As for the total energy: -4.536 eV/atom. For the raw formation energy, the calculation gives 1.36 eV per formula unit. Its space group is Pm-3m, No. 221. The value obtained for the density of states at the Fermi level is 0.52 states/eV/atom. For the calculated volume, the calculation gives 14.64 A^3/atom.